DFT (GGA-PBE) results for crystalline CsUS4 at its relaxed geometry.

Cell lengths 9.4447, 9.4447, 7.0878 Å; angles 108.13, 108.13, 116.90 degrees
Closest atoms and distances in Å follow each position.
Element x y z (fractional)
Cs: 0.1314 0.8686 0.7500  6 S 3.56-3.85
Cs: 0.8686 0.1314 0.2500  6 S 3.56-3.85
U: 0.4445 0.5555 0.2500  6 S 2.61-2.62
U: 0.5555 0.4445 0.7500  6 S 2.61-2.62
S: 0.2141 0.6242 0.2967  1 S 2.06
S: 0.2736 0.3061 0.8071  2 U 2.61
S: 0.3061 0.2736 0.3071  2 U 2.61
S: 0.3758 0.7859 0.2033  1 S 2.06
S: 0.6242 0.2141 0.7967  1 S 2.06
S: 0.6939 0.7264 0.6929  2 U 2.61
S: 0.7264 0.6939 0.1929  2 U 2.61
S: 0.7859 0.3758 0.7033  1 S 2.06

Properties
Crystal system ... monoclinic
Formation energy from raw total energies ... -1.07 eV/atom
Size of the total moment ... 0.17 μB/atom
Space-group type ... No. 15